(1)
Entry from the Alexandria database: MgHg2Br after structural relaxation (PBE). Values from VASP.

The calculation puts the density of states at the Fermi level at 0.333 states/eV/atom. Its formation energy from raw total energies is -388.5 meV per atom. As for the crystal system: orthorhombic.

Quantum ESPRESSO input file:
```
&SYSTEM
  ibrav = 0, nat = 8, ntyp = 3
/
ATOMIC_SPECIES
Mg 24.30 Mg.upf
Hg 200.59 Hg.upf
Br 79.90 Br.upf
ATOMIC_POSITIONS crystal
Mg 0.0000 0.0000 0.0000
Mg 0.5000 0.5000 0.0000
Hg 0.0000 0.0000 0.4661
Hg 0.0000 0.5000 0.2108
Hg 0.5000 0.0000 0.2108
Hg 0.5000 0.5000 0.4661
Br 0.0000 0.5000 0.8235
Br 0.5000 0.0000 0.8235
CELL_PARAMETERS angstrom
4.2881 0.0000 0.0000
0.0000 5.7153 0.0000
0.0000 0.0000 9.1216
```



(2)
Entry from the Alexandria database: MgHgBr2 after structural relaxation (PBE). Values from VASP.

The calculation puts the density of states at the Fermi level at 0.014 states/eV/atom. Its formation energy from raw total energies is -525.5 meV per atom. As for the crystal system: tetragonal.

Quantum ESPRESSO input file:
```
&SYSTEM
  ibrav = 0, nat = 4, ntyp = 3
/
ATOMIC_SPECIES
Mg 24.30 Mg.upf
Hg 200.59 Hg.upf
Br 79.90 Br.upf
ATOMIC_POSITIONS crystal
Mg 0.0000 0.0000 0.0000
Hg 0.5000 0.5000 0.7668
Br 0.0000 0.0000 0.5645
Br 0.5000 0.5000 0.1757
CELL_PARAMETERS angstrom
3.5568 0.0000 0.0000
0.0000 3.5568 0.0000
0.0000 0.0000 8.5000
```



Number 1: M_tot 0.00 μB per cell. Number 2: M_tot 0.00 μB per cell.